# PBE BeNiW2, relaxed
# Formation energy from the elements   167 meV/atom
data_BeNiW2
_chemical_formula_sum 'Be2 Ni2 W4'
_cell_length_a 5.354
_cell_length_b 7.215
_cell_length_c 2.707
_cell_angle_alpha 90.00
_cell_angle_beta 90.00
_cell_angle_gamma 90.00
_space_group_name_H-M_alt 'C m m m'
_space_group_IT_number 65
_space_group_name_Hall '-C 2 2'
loop_
_atom_site_label
_atom_site_fract_x
_atom_site_fract_y
_atom_site_fract_z
Be1 0.000 0.000 0.000
Ni1 0.000 0.500 0.000
W1 0.250 0.250 0.500